Compound: NaZr2HO
Source: the Alexandria database
Functional: GGA-PBE
Structure: relaxed

## Properties
The value obtained for the density of states at the Fermi level is 5.32 states/eV per cell. Its space group is No. 123. The calculated volume comes out at 17.60 A^3/atom. For the total DFT energy (no corrections), the calculation gives -5.557 eV/atom. For the total magnetic moment, the calculation gives 0.0000 μB/atom.

Unit cell a=4.351 b=4.351 c=4.648 alpha=90.00 beta=90.00 gamma=90.00
Positions (direct):
Na  0.000  0.000  0.000
Zr  0.000  0.500  0.500
Zr  0.500  0.000  0.500
H  0.500  0.500  0.000
O  0.000  0.000  0.500